VASP calculation (PBE+U) on AcW2O6 after structural relaxation.

Lattice parameters (Å, degrees): 5.5089 5.5089 5.3344 90.44 90.44 121.92
Closest atoms and distances in Å follow each position.
Element x y z (fractional)
Ac: 0.0000 0.0000 0.0000  6 O 2.55-2.56
W: 0.3370 0.6630 0.5000  6 O 2.01-2.11
W: 0.6630 0.3370 0.5000  6 O 2.01-2.11
O: 0.0024 0.3696 0.2918  2 W 2.01-2.11
O: 0.3696 0.0024 0.2918  2 W 2.01-2.11
O: 0.3760 0.3760 0.7099  2 W 2.05
O: 0.6240 0.6240 0.2901  2 W 2.05
O: 0.6304 0.9976 0.7082  2 W 2.01-2.11
O: 0.9976 0.6304 0.7082  2 W 2.01-2.11

Output
Total moment, μB per formula unit: 3.000
Mass density, g cm⁻³: 8.348
Energy, hartree per atom: -0.28587